This record from Alexandria via LeMat-Bulk describes an optimized crystal structure of BaSc2Pt. The functional is PBE.

Output
V: 26.766 A^3/atom

Unit cell a=11.3702 b=11.3702 c=11.3702 alpha=16.80 beta=16.80 gamma=16.80
Closest atoms and distances in Å follow each position.
Positions (direct):
Pt (0.0000, 0.0000, 0.0000)  2 Sc 2.48
Sc (0.9261, 0.9261, 0.9261)  1 Pt 2.48
Ba (0.5000, 0.5000, 0.5000)  6 Ba 3.32, 6 Sc 3.66
Sc (0.0739, 0.0739, 0.0739)  1 Pt 2.48

This record from Alexandria via LeMat-Bulk describes an optimized crystal structure of BaScPt. The functional is PBE.

Output
V: 32.767 A^3/atom

Unit cell a=4.2821 b=4.2821 c=6.1904 alpha=90.00 beta=90.00 gamma=120.00
Closest atoms and distances in Å follow each position.
Positions (direct):
Ba (0.0000, 0.0000, 0.0559)  3 Pt 3.26
Sc (0.6667, 0.3333, 0.5447)  3 Pt 2.63
Pt (0.3333, 0.6667, 0.3995)  3 Sc 2.63

This record from Alexandria via LeMat-Bulk describes an optimized crystal structure of BaSc2Pt2. The functional is PBE.

Output
V: 26.975 A^3/atom

Unit cell a=4.9840 b=4.9840 c=6.4731 alpha=67.36 beta=67.36 gamma=90.00
Closest atoms and distances in Å follow each position.
Positions (direct):
Pt (0.7500, 0.2500, 0.5000)  4 Sc 2.67
Ba (0.0000, 0.0000, 0.0000)  10 Sc 3.69-3.93, 8 Pt 3.69
Sc (0.3394, 0.3394, 0.3213)  4 Pt 2.67
Pt (0.2500, 0.7500, 0.5000)  4 Sc 2.67
Sc (0.6606, 0.6606, 0.6787)  4 Pt 2.67

no.,Fermi-level density of states (states/eV/atom),ΔE_f (kJ/mol of atoms),polymorph energy (0 for the lowest one) (meV/atom)
1,1.24,34,819
2,1.38,-52,262
3,0.81,-68,244